P:
Here is a relaxed CuNi2AgH crystal from Alexandria. Energies are from PBE-GGA.

Output
- Total magnetic moment: 0.00 Bohr magnetons per cell

```
data_CuNi2AgH
_symmetry_space_group_name_H-M 'P 4/m m m'
_symmetry_Int_Tables_number 123
_symmetry_space_group_name_Hall '-P 4 2'
_cell_length_a 3.6890
_cell_length_b 3.6890
_cell_length_c 3.9084
_cell_angle_alpha 90.00
_cell_angle_beta 90.00
_cell_angle_gamma 90.00
loop_
_atom_site_label
_atom_site_fract_x
_atom_site_fract_y
_atom_site_fract_z
Cu1 0.0000 0.0000 0.0000
Ni1 0.0000 0.5000 0.5000
Ag1 0.5000 0.5000 0.0000
H1 0.0000 0.0000 0.5000
```


Q:
Here is a relaxed CuNi2AgH crystal from Alexandria. Energies are from PBE-GGA.

Output
- Total magnetic moment: 0.00 Bohr magnetons per cell

```
data_CuNi2AgH
_symmetry_space_group_name_H-M 'P 4/m m m'
_symmetry_Int_Tables_number 123
_symmetry_space_group_name_Hall '-P 4 2'
_cell_length_a 3.6500
_cell_length_b 3.6500
_cell_length_c 4.0456
_cell_angle_alpha 90.00
_cell_angle_beta 90.00
_cell_angle_gamma 90.00
loop_
_atom_site_label
_atom_site_fract_x
_atom_site_fract_y
_atom_site_fract_z
Cu1 0.0000 0.0000 0.0000
Ni1 0.0000 0.5000 0.5000
Ag1 0.5000 0.5000 0.0000
H1 0.5000 0.5000 0.5000
```


The most stable arrangement is P, and the next structure is 4.9 kJ/mol of atoms less stable.


P:
Here is a relaxed Cu2AgHPd crystal from Alexandria. Energies are from PBE-GGA.

Output
- Total magnetic moment: 0.00 Bohr magnetons per cell

```
data_Cu2AgHPd
_symmetry_space_group_name_H-M 'P 4/m m m'
_symmetry_Int_Tables_number 123
_symmetry_space_group_name_Hall '-P 4 2'
_cell_length_a 4.0064
_cell_length_b 4.0064
_cell_length_c 3.7351
_cell_angle_alpha 90.00
_cell_angle_beta 90.00
_cell_angle_gamma 90.00
loop_
_atom_site_label
_atom_site_fract_x
_atom_site_fract_y
_atom_site_fract_z
Cu1 0.0000 0.5000 0.0000
Ag1 0.0000 0.0000 0.5000
H1 0.5000 0.5000 0.0000
Pd1 0.5000 0.5000 0.5000
```


Q:
Here is a relaxed Cu2AgHPd crystal from Alexandria. Energies are from PBE-GGA.

Output
- Total magnetic moment: 0.00 Bohr magnetons per cell

```
data_Cu2AgHPd
_symmetry_space_group_name_H-M 'P 4/m m m'
_symmetry_Int_Tables_number 123
_symmetry_space_group_name_Hall '-P 4 2'
_cell_length_a 3.9054
_cell_length_b 3.9054
_cell_length_c 3.9460
_cell_angle_alpha 90.00
_cell_angle_beta 90.00
_cell_angle_gamma 90.00
loop_
_atom_site_label
_atom_site_fract_x
_atom_site_fract_y
_atom_site_fract_z
Cu1 0.0000 0.5000 0.0000
Ag1 0.0000 0.0000 0.5000
H1 0.0000 0.0000 0.0000
Pd1 0.5000 0.5000 0.5000
```


The most stable arrangement is P, and the next structure is 13.0 kJ/mol of atoms less stable.


P:
Here is a relaxed CuAgHPt2 crystal from Alexandria. Energies are from PBE-GGA.

Output
- Total magnetic moment: 0.00 Bohr magnetons per cell

```
data_CuAgHPt2
_symmetry_space_group_name_H-M 'P 4/m m m'
_symmetry_Int_Tables_number 123
_symmetry_space_group_name_Hall '-P 4 2'
_cell_length_a 3.9568
_cell_length_b 3.9568
_cell_length_c 4.1169
_cell_angle_alpha 90.00
_cell_angle_beta 90.00
_cell_angle_gamma 90.00
loop_
_atom_site_label
_atom_site_fract_x
_atom_site_fract_y
_atom_site_fract_z
Cu1 0.0000 0.0000 0.0000
Ag1 0.5000 0.5000 0.0000
H1 0.0000 0.0000 0.5000
Pt1 0.0000 0.5000 0.5000
```


Q:
Here is a relaxed CuAgHPt2 crystal from Alexandria. Energies are from PBE-GGA.

Output
- Total magnetic moment: 0.00 Bohr magnetons per cell

```
data_CuAgHPt2
_symmetry_space_group_name_H-M 'P 4/m m m'
_symmetry_Int_Tables_number 123
_symmetry_space_group_name_Hall '-P 4 2'
_cell_length_a 3.9267
_cell_length_b 3.9267
_cell_length_c 4.2264
_cell_angle_alpha 90.00
_cell_angle_beta 90.00
_cell_angle_gamma 90.00
loop_
_atom_site_label
_atom_site_fract_x
_atom_site_fract_y
_atom_site_fract_z
Cu1 0.0000 0.0000 0.0000
Ag1 0.5000 0.5000 0.0000
H1 0.5000 0.5000 0.5000
Pt1 0.0000 0.5000 0.5000
```


The most stable arrangement is P, and the next structure is 3.6 kJ/mol of atoms less stable.


P:
Here is a relaxed Sr2CuAgH crystal from Alexandria. Energies are from PBE-GGA.

Output
- Total magnetic moment: 0.00 Bohr magnetons per cell

```
data_Sr2CuAgH
_symmetry_space_group_name_H-M 'P 4/m m m'
_symmetry_Int_Tables_number 123
_symmetry_space_group_name_Hall '-P 4 2'
_cell_length_a 5.4056
_cell_length_b 5.4056
_cell_length_c 3.8592
_cell_angle_alpha 90.00
_cell_angle_beta 90.00
_cell_angle_gamma 90.00
loop_
_atom_site_label
_atom_site_fract_x
_atom_site_fract_y
_atom_site_fract_z
Sr1 0.0000 0.5000 0.0000
Cu1 0.0000 0.0000 0.5000
Ag1 0.5000 0.5000 0.5000
H1 0.0000 0.0000 0.0000
```


Q:
Here is a relaxed Sr2CuAgH crystal from Alexandria. Energies are from PBE-GGA.

Output
- Total magnetic moment: 0.00 Bohr magnetons per cell

```
data_Sr2CuAgH
_symmetry_space_group_name_H-M 'P 4/m m m'
_symmetry_Int_Tables_number 123
_symmetry_space_group_name_Hall '-P 4 2'
_cell_length_a 5.3562
_cell_length_b 5.3562
_cell_length_c 4.0170
_cell_angle_alpha 90.00
_cell_angle_beta 90.00
_cell_angle_gamma 90.00
loop_
_atom_site_label
_atom_site_fract_x
_atom_site_fract_y
_atom_site_fract_z
Sr1 0.0000 0.5000 0.0000
Cu1 0.0000 0.0000 0.5000
Ag1 0.5000 0.5000 0.5000
H1 0.5000 0.5000 0.0000
```


The most stable arrangement is P, and the next structure is 5.3 kJ/mol of atoms less stable.


P:
Here is a relaxed Zr2CuAgH crystal from Alexandria. Energies are from PBE-GGA.

Output
- Total magnetic moment: 0.00 Bohr magnetons per cell

```
data_Zr2CuAgH
_symmetry_space_group_name_H-M 'P 4/m m m'
_symmetry_Int_Tables_number 123
_symmetry_space_group_name_Hall '-P 4 2'
_cell_length_a 4.3832
_cell_length_b 4.3832
_cell_length_c 4.0231
_cell_angle_alpha 90.00
_cell_angle_beta 90.00
_cell_angle_gamma 90.00
loop_
_atom_site_label
_atom_site_fract_x
_atom_site_fract_y
_atom_site_fract_z
Zr1 0.0000 0.5000 0.0000
Cu1 0.0000 0.0000 0.5000
Ag1 0.5000 0.5000 0.5000
H1 0.0000 0.0000 0.0000
```


Q:
Here is a relaxed Zr2CuAgH crystal from Alexandria. Energies are from PBE-GGA.

Output
- Total magnetic moment: 0.00 Bohr magnetons per cell

```
data_Zr2CuAgH
_symmetry_space_group_name_H-M 'P 4/m m m'
_symmetry_Int_Tables_number 123
_symmetry_space_group_name_Hall '-P 4 2'
_cell_length_a 4.2955
_cell_length_b 4.2955
_cell_length_c 4.2230
_cell_angle_alpha 90.00
_cell_angle_beta 90.00
_cell_angle_gamma 90.00
loop_
_atom_site_label
_atom_site_fract_x
_atom_site_fract_y
_atom_site_fract_z
Zr1 0.0000 0.5000 0.0000
Cu1 0.0000 0.0000 0.5000
Ag1 0.5000 0.5000 0.5000
H1 0.5000 0.5000 0.0000
```


The most stable arrangement is P, and the next structure is 4.3 kJ/mol of atoms less stable.


P:
Here is a relaxed Hf2Cu2Ag crystal from Alexandria. Energies are from PBE-GGA.

Output
- Total magnetic moment: 0.00 Bohr magnetons per cell

```
data_Hf2Cu2Ag
_symmetry_space_group_name_H-M 'P 4/m b m'
_symmetry_Int_Tables_number 127
_symmetry_space_group_name_Hall '-P 4 2ab'
_cell_length_a 7.0595
_cell_length_b 7.0595
_cell_length_c 3.4547
_cell_angle_alpha 90.00
_cell_angle_beta 90.00
_cell_angle_gamma 90.00
loop_
_atom_site_label
_atom_site_fract_x
_atom_site_fract_y
_atom_site_fract_z
Hf1 0.1685 0.3315 0.0000
Cu1 0.1262 0.6262 0.5000
Ag1 0.0000 0.0000 0.5000
```


Q:
Here is a relaxed Hf2Cu2Ag crystal from Alexandria. Energies are from PBE-GGA.

Output
- Total magnetic moment: 0.00 Bohr magnetons per cell

```
data_Hf2Cu2Ag
_symmetry_space_group_name_H-M 'P 4/m b m'
_symmetry_Int_Tables_number 127
_symmetry_space_group_name_Hall '-P 4 2ab'
_cell_length_a 7.9231
_cell_length_b 7.9231
_cell_length_c 2.8569
_cell_angle_alpha 90.00
_cell_angle_beta 90.00
_cell_angle_gamma 90.00
loop_
_atom_site_label
_atom_site_fract_x
_atom_site_fract_y
_atom_site_fract_z
Hf1 0.1686 0.3314 0.0000
Cu1 0.1241 0.6241 0.5000
Ag1 0.0000 0.0000 0.0000
```


The most stable arrangement is P, and the next structure is 26.7 kJ/mol of atoms less stable.


P:
Here is a relaxed Hf2CuAg crystal from Alexandria. Energies are from PBE-GGA.

Output
- Total magnetic moment: 0.00 Bohr magnetons per cell

```
data_Hf2CuAg
_symmetry_space_group_name_H-M 'P 4/m m m'
_symmetry_Int_Tables_number 123
_symmetry_space_group_name_Hall '-P 4 2'
_cell_length_a 4.2823
_cell_length_b 4.2823
_cell_length_c 3.9993
_cell_angle_alpha 90.00
_cell_angle_beta 90.00
_cell_angle_gamma 90.00
loop_
_atom_site_label
_atom_site_fract_x
_atom_site_fract_y
_atom_site_fract_z
Hf1 0.0000 0.5000 0.0000
Cu1 0.0000 0.0000 0.5000
Ag1 0.5000 0.5000 0.5000
```


Q:
Here is a relaxed Hf2CuAg crystal from Alexandria. Energies are from PBE-GGA.

Output
- Total magnetic moment: 0.00 Bohr magnetons per cell

```
data_Hf2CuAg
_symmetry_space_group_name_H-M 'I -4 2 d'
_symmetry_Int_Tables_number 122
_symmetry_space_group_name_Hall 'I -4 2bw'
_cell_length_a 7.5299
_cell_length_b 7.5299
_cell_length_c 5.5071
_cell_angle_alpha 90.00
_cell_angle_beta 90.00
_cell_angle_gamma 90.00
loop_
_atom_site_label
_atom_site_fract_x
_atom_site_fract_y
_atom_site_fract_z
Hf1 0.2191 0.2500 0.1250
Cu1 0.0000 0.0000 0.0000
Ag1 0.0000 0.0000 0.5000
```


R:
Here is a relaxed Hf2CuAg crystal from Alexandria. Energies are from PBE-GGA.

Output
- Total magnetic moment: 0.83 Bohr magnetons per cell

```
data_Hf2CuAg
_symmetry_space_group_name_H-M 'P 4/m m m'
_symmetry_Int_Tables_number 123
_symmetry_space_group_name_Hall '-P 4 2'
_cell_length_a 3.2507
_cell_length_b 3.2507
_cell_length_c 6.9852
_cell_angle_alpha 90.00
_cell_angle_beta 90.00
_cell_angle_gamma 90.00
loop_
_atom_site_label
_atom_site_fract_x
_atom_site_fract_y
_atom_site_fract_z
Hf1 0.0000 0.0000 0.2293
Cu1 0.5000 0.5000 0.0000
Ag1 0.5000 0.5000 0.5000
```


S:
Here is a relaxed Hf2CuAg crystal from Alexandria. Energies are from PBE-GGA.

Output
- Total magnetic moment: 5.98 Bohr magnetons per cell

```
data_Hf2CuAg
_symmetry_space_group_name_H-M 'F m -3 m'
_symmetry_Int_Tables_number 225
_symmetry_space_group_name_Hall '-F 4 2 3'
_cell_length_a 6.6727
_cell_length_b 6.6727
_cell_length_c 6.6727
_cell_angle_alpha 90.00
_cell_angle_beta 90.00
_cell_angle_gamma 90.00
loop_
_atom_site_label
_atom_site_fract_x
_atom_site_fract_y
_atom_site_fract_z
Hf1 0.2500 0.2500 0.2500
Cu1 0.0000 0.0000 0.0000
Ag1 0.0000 0.0000 0.5000
```


The most stable arrangement is R, and the next structure is 4.0 kJ/mol of atoms less stable.


P:
Here is a relaxed CuAgHg2 crystal from Alexandria. Energies are from PBE-GGA.

Output
- Total magnetic moment: 0.00 Bohr magnetons per cell

```
data_CuAgHg2
_symmetry_space_group_name_H-M 'I m m m'
_symmetry_Int_Tables_number 71
_symmetry_space_group_name_Hall '-I 2 2'
_cell_length_a 3.9165
_cell_length_b 4.5153
_cell_length_c 8.5953
_cell_angle_alpha 90.00
_cell_angle_beta 90.00
_cell_angle_gamma 90.00
loop_
_atom_site_label
_atom_site_fract_x
_atom_site_fract_y
_atom_site_fract_z
Cu1 0.0000 0.0000 0.0000
Ag1 0.0000 0.0000 0.5000
Hg1 0.0000 0.5000 0.2687
```


Q:
Here is a relaxed CuAgHg2 crystal from Alexandria. Energies are from PBE-GGA.

Output
- Total magnetic moment: 0.00 Bohr magnetons per cell

```
data_CuAgHg2
_symmetry_space_group_name_H-M 'P m m m'
_symmetry_Int_Tables_number 47
_symmetry_space_group_name_Hall '-P 2 2'
_cell_length_a 3.1735
_cell_length_b 3.2969
_cell_length_c 7.1587
_cell_angle_alpha 90.00
_cell_angle_beta 90.00
_cell_angle_gamma 90.00
loop_
_atom_site_label
_atom_site_fract_x
_atom_site_fract_y
_atom_site_fract_z
Cu1 0.0000 0.0000 0.0000
Ag1 0.0000 0.0000 0.5000
Hg1 0.5000 0.5000 0.2269
```


R:
Here is a relaxed CuAgHg2 crystal from Alexandria. Energies are from PBE-GGA.

Output
- Total magnetic moment: 0.00 Bohr magnetons per cell

```
data_CuAgHg2
_symmetry_space_group_name_H-M 'I 4/m m m'
_symmetry_Int_Tables_number 139
_symmetry_space_group_name_Hall '-I 4 2'
_cell_length_a 4.4785
_cell_length_b 4.4785
_cell_length_c 7.5093
_cell_angle_alpha 90.00
_cell_angle_beta 90.00
_cell_angle_gamma 90.00
loop_
_atom_site_label
_atom_site_fract_x
_atom_site_fract_y
_atom_site_fract_z
Cu1 0.0000 0.0000 0.0000
Ag1 0.0000 0.0000 0.5000
Hg1 0.0000 0.5000 0.2500
```


The most stable arrangement is Q, and the next structure is 2.3 kJ/mol of atoms less stable.